(1)
An optimized crystal structure of SrLaIrCl. Source: the Alexandria database, functional PBE.

## Properties
As for the uncorrected formation energy: -1.16 eV per atom. For the theoretical density, the calculation gives 6.3 g/cm³. For the total energy, the calculation gives -5.49 eV per atom.

a = 8.197 Å, b = 8.197 Å, c = 8.197 Å
α = 29.61°, β = 29.61°, γ = 29.61°
Sites, in units of the cell vectors:
Sr 0.000 0.000 0.000
La 0.193 0.193 0.193
Ir 0.586 0.586 0.586
Cl 0.763 0.763 0.763

(2)
An optimized crystal structure of LiRu3. Source: the Alexandria database, functional PBE.

## Properties
The calculation puts the formation energy at 0.201 eV per atom. For the theoretical density, the calculation gives 9.4 g/cm³. For the total energy, the calculation gives -7.23 eV per atom.

a = 4.666 Å, b = 8.752 Å, c = 5.363 Å
α = 90.00°, β = 90.00°, γ = 90.00°
Sites, in units of the cell vectors:
Li 0.064 0.250 0.151
Li 0.436 0.750 0.651
Li 0.564 0.250 0.349
Li 0.936 0.750 0.849
Ru 0.076 0.250 0.640
Ru 0.247 0.512 0.393
Ru 0.247 0.988 0.393
Ru 0.253 0.012 0.893
Ru 0.253 0.488 0.893
Ru 0.424 0.750 0.140
Ru 0.576 0.250 0.860
Ru 0.747 0.512 0.107
Ru 0.747 0.988 0.107
Ru 0.753 0.012 0.607
Ru 0.753 0.488 0.607
Ru 0.924 0.750 0.360

(3)
An optimized crystal structure of Os2PdPbS. Source: the Alexandria database, functional PBE.

## Properties
As for the uncorrected formation energy: 2.69 eV per atom. For the theoretical density, the calculation gives 9.1 g/cm³. For the total energy, the calculation gives -4.41 eV per atom.

a = 5.096 Å, b = 5.096 Å, c = 5.101 Å
α = 90.00°, β = 90.00°, γ = 90.00°
Sites, in units of the cell vectors:
Os 0.000 0.500 0.000
Os 0.500 0.000 0.000
Pd 0.000 0.000 0.500
Pb 0.500 0.500 0.000
S 0.500 0.500 0.500

(4)
An optimized crystal structure of Ac12NdY6. Source: the Alexandria database, functional PBE.

## Properties
The calculation puts the formation energy at 0.261 eV per atom. For the theoretical density, the calculation gives 7.0 g/cm³. For the total energy, the calculation gives -4.63 eV per atom.

a = 9.855 Å, b = 9.855 Å, c = 9.855 Å
α = 106.44°, β = 106.44°, γ = 106.44°
Sites, in units of the cell vectors:
Ac 0.132 0.833 0.272
Ac 0.167 0.728 0.868
Ac 0.191 0.578 0.480
Ac 0.272 0.132 0.833
Ac 0.422 0.520 0.809
Ac 0.480 0.191 0.578
Ac 0.520 0.809 0.422
Ac 0.578 0.480 0.191
Ac 0.728 0.868 0.167
Ac 0.809 0.422 0.520
Ac 0.833 0.272 0.132
Ac 0.868 0.167 0.728
Nd 0.000 0.000 0.000
Y 0.073 0.188 0.465
Y 0.188 0.465 0.073
Y 0.465 0.073 0.188
Y 0.535 0.927 0.812
Y 0.812 0.535 0.927
Y 0.927 0.812 0.535